A plane-wave DFT calculation with PBE was carried out for an optimized crystal structure of LaPr2Nd6Y3.

CIF file:
```
data_LaPr2Nd6Y3
_cell_length_a 6.3633
_cell_length_b 6.3633
_cell_length_c 12.1217
_cell_angle_alpha 95.02
_cell_angle_beta 95.02
_cell_angle_gamma 120.03
_space_group_name_H-M_alt 'P 1'
_space_group_IT_number 1
loop_
_space_group_symop_operation_xyz
'x,y,z'
loop_
_atom_site_label
_atom_site_type_symbol
_atom_site_fract_x
_atom_site_fract_y
_atom_site_fract_z
Nd1 Nd 0.5818 0.9152 0.7456
Nd2 Nd 0.0848 0.4182 0.2544
Nd3 Nd 0.7514 0.7514 0.2548
Y1 Y 0.1669 0.8331 0.5000
Pr1 Pr 0.6665 0.3335 0.0000
Pr2 Pr 0.3335 0.6665 0.0000
Y2 Y 0.5000 0.5000 0.5000
Nd4 Nd 0.9152 0.5818 0.7456
Nd5 Nd 0.4182 0.0848 0.2544
La1 La 0.0000 0.0000 0.0000
Y3 Y 0.8331 0.1669 0.5000
Nd6 Nd 0.2486 0.2486 0.7452
```

space group: C2/m
total energy: -62.31 eV for the cell shown

***

A plane-wave DFT calculation with PBE was carried out for an optimized crystal structure of TmMgScTc.

CIF file:
```
data_TmMgScTc
_cell_length_a 4.8649
_cell_length_b 4.8649
_cell_length_c 4.8649
_cell_angle_alpha 60.00
_cell_angle_beta 60.00
_cell_angle_gamma 60.00
_space_group_name_H-M_alt 'P 1'
_space_group_IT_number 1
loop_
_space_group_symop_operation_xyz
'x,y,z'
loop_
_atom_site_label
_atom_site_type_symbol
_atom_site_fract_x
_atom_site_fract_y
_atom_site_fract_z
Mg1 Mg 0.0000 0.0000 0.0000
Tm1 Tm 0.2500 0.2500 0.2500
Tc1 Tc 0.5000 0.5000 0.5000
Sc1 Sc 0.7500 0.7500 0.7500
```

space group: F-43m
ΔE to the lowest computed polymorph: 89.0 meV/atom

***

A plane-wave DFT calculation with PBE was carried out for an optimized crystal structure of TlBr2.

CIF file:
```
data_TlBr2
_cell_length_a 6.5939
_cell_length_b 6.5939
_cell_length_c 9.2364
_cell_angle_alpha 80.05
_cell_angle_beta 80.05
_cell_angle_gamma 40.99
_space_group_name_H-M_alt 'P 1'
_space_group_IT_number 1
loop_
_space_group_symop_operation_xyz
'x,y,z'
loop_
_atom_site_label
_atom_site_type_symbol
_atom_site_fract_x
_atom_site_fract_y
_atom_site_fract_z
Br1 Br 0.8517 0.8517 0.7461
Br2 Br 0.7594 0.7594 0.5316
Br3 Br 0.6588 0.6588 0.2626
Tl1 Tl 0.2121 0.2121 0.9988
Tl2 Tl 0.3990 0.3990 0.2789
Br4 Br 0.9523 0.9523 0.0152
```

space group: C2/m
energy relative to the elements, uncorrected: -0.550 eV/atom

***

A plane-wave DFT calculation with PBE was carried out for an optimized crystal structure of RbCeZnCl6.

CIF file:
```
data_RbCeZnCl6
_cell_length_a 6.9229
_cell_length_b 6.9229
_cell_length_c 14.4440
_cell_angle_alpha 90.00
_cell_angle_beta 90.00
_cell_angle_gamma 120.00
_space_group_name_H-M_alt 'P 1'
_space_group_IT_number 1
loop_
_space_group_symop_operation_xyz
'x,y,z'
loop_
_atom_site_label
_atom_site_type_symbol
_atom_site_fract_x
_atom_site_fract_y
_atom_site_fract_z
Cl1 Cl 0.9711 0.3584 0.1473
Cl2 Cl 0.6416 0.6127 0.1473
Ce1 Ce 0.6667 0.3333 0.7500
Rb1 Rb 0.0000 0.0000 0.0000
Rb2 Rb 0.0000 0.0000 0.5000
Zn1 Zn 0.3333 0.6667 0.7500
Zn2 Zn 0.6667 0.3333 0.2500
Ce2 Ce 0.3333 0.6667 0.2500
Cl3 Cl 0.3873 0.3584 0.3527
Cl4 Cl 0.3584 0.9711 0.6473
Cl5 Cl 0.6127 0.6416 0.6473
Cl6 Cl 0.6127 0.9711 0.8527
Cl7 Cl 0.9711 0.6127 0.3527
Cl8 Cl 0.0289 0.3873 0.6473
Cl9 Cl 0.6416 0.0289 0.3527
Cl10 Cl 0.3873 0.0289 0.1473
Cl11 Cl 0.0289 0.6416 0.8527
Cl12 Cl 0.3584 0.3873 0.8527
```

space group: P-31c
energy relative to the elements, uncorrected: -1.782 eV/atom

***

A plane-wave DFT calculation with PBE was carried out for an optimized crystal structure of Zn2Pt2Au.

CIF file:
```
data_Zn2Pt2Au
_cell_length_a 7.4154
_cell_length_b 7.4154
_cell_length_c 2.8721
_cell_angle_alpha 90.00
_cell_angle_beta 90.00
_cell_angle_gamma 90.00
_space_group_name_H-M_alt 'P 1'
_space_group_IT_number 1
loop_
_space_group_symop_operation_xyz
'x,y,z'
loop_
_atom_site_label
_atom_site_type_symbol
_atom_site_fract_x
_atom_site_fract_y
_atom_site_fract_z
Zn1 Zn 0.1420 0.3580 0.0000
Au1 Au 0.5000 0.5000 0.0000
Pt1 Pt 0.6543 0.8457 0.5000
Zn2 Zn 0.8580 0.6420 0.0000
Pt2 Pt 0.1543 0.6543 0.5000
Zn3 Zn 0.3580 0.8580 0.0000
Pt3 Pt 0.3457 0.1543 0.5000
Zn4 Zn 0.6420 0.1420 0.0000
Au2 Au 0.0000 0.0000 0.0000
Pt4 Pt 0.8457 0.3457 0.5000
```

space group: P4/mbm
ΔE to the lowest computed polymorph: 33.6 meV/atom

***

A plane-wave DFT calculation with PBE was carried out for an optimized crystal structure of Ta2CdRh.

CIF file:
```
data_Ta2CdRh
_cell_length_a 5.2081
_cell_length_b 5.2081
_cell_length_c 5.2081
_cell_angle_alpha 134.80
_cell_angle_beta 134.80
_cell_angle_gamma 65.84
_space_group_name_H-M_alt 'P 1'
_space_group_IT_number 1
loop_
_space_group_symop_operation_xyz
'x,y,z'
loop_
_atom_site_label
_atom_site_type_symbol
_atom_site_fract_x
_atom_site_fract_y
_atom_site_fract_z
Ta1 Ta 0.2500 0.7500 0.5000
Rh1 Rh 0.7500 0.2500 0.5000
Cd1 Cd 0.5000 0.5000 0.0000
Ta2 Ta 0.0000 0.0000 0.0000
```

space group: I-4m2
total energy: -31.39 eV for the cell shown

***

A plane-wave DFT calculation with PBE was carried out for an optimized crystal structure of TaTe2Os.

CIF file:
```
data_TaTe2Os
_cell_length_a 7.9527
_cell_length_b 7.9527
_cell_length_c 7.9527
_cell_angle_alpha 153.02
_cell_angle_beta 150.79
_cell_angle_gamma 40.18
_space_group_name_H-M_alt 'P 1'
_space_group_IT_number 1
loop_
_space_group_symop_operation_xyz
'x,y,z'
loop_
_atom_site_label
_atom_site_type_symbol
_atom_site_fract_x
_atom_site_fract_y
_atom_site_fract_z
Te1 Te 0.8865 0.8865 0.0000
Os1 Os 0.7500 0.2500 0.5000
Ta1 Ta 0.2500 0.7500 0.5000
Te2 Te 0.6135 0.6135 0.0000
```

space group: Immm
energy relative to the elements, uncorrected: 0.042 eV/atom
ΔE to the lowest computed polymorph: 17.6 meV/atom

***

A plane-wave DFT calculation with PBE was carried out for an optimized crystal structure of MgCdGa2Co.

CIF file:
```
data_MgCdGa2Co
_cell_length_a 4.5669
_cell_length_b 4.5669
_cell_length_c 4.9079
_cell_angle_alpha 90.00
_cell_angle_beta 90.00
_cell_angle_gamma 90.00
_space_group_name_H-M_alt 'P 1'
_space_group_IT_number 1
loop_
_space_group_symop_operation_xyz
'x,y,z'
loop_
_atom_site_label
_atom_site_type_symbol
_atom_site_fract_x
_atom_site_fract_y
_atom_site_fract_z
Ga1 Ga 0.0000 0.5000 0.0000
Cd1 Cd 0.5000 0.5000 0.5000
Ga2 Ga 0.5000 0.0000 0.0000
Co1 Co 0.0000 0.0000 0.0000
Mg1 Mg 0.0000 0.0000 0.5000
```

space group: P4/mmm
total energy: -15.71 eV for the cell shown

***

A plane-wave DFT calculation with PBE was carried out for an optimized crystal structure of LaCdPd3.

CIF file:
```
data_LaCdPd3
_cell_length_a 5.1635
_cell_length_b 5.1635
_cell_length_c 5.1635
_cell_angle_alpha 90.00
_cell_angle_beta 90.00
_cell_angle_gamma 90.00
_space_group_name_H-M_alt 'P 1'
_space_group_IT_number 1
loop_
_space_group_symop_operation_xyz
'x,y,z'
loop_
_atom_site_label
_atom_site_type_symbol
_atom_site_fract_x
_atom_site_fract_y
_atom_site_fract_z
Pd1 Pd 0.0000 0.5000 0.0000
Cd1 Cd 0.5000 0.5000 0.5000
Pd2 Pd 0.0000 0.0000 0.5000
Pd3 Pd 0.5000 0.0000 0.0000
La1 La 0.0000 0.0000 0.0000
```

space group: Pm-3m
ΔE to the lowest computed polymorph: 966.7 meV/atom

***

A plane-wave DFT calculation with PBE was carried out for an optimized crystal structure of CsTl2PdAu.

CIF file:
```
data_CsTl2PdAu
_cell_length_a 5.3597
_cell_length_b 5.3597
_cell_length_c 5.5782
_cell_angle_alpha 90.00
_cell_angle_beta 90.00
_cell_angle_gamma 90.00
_space_group_name_H-M_alt 'P 1'
_space_group_IT_number 1
loop_
_space_group_symop_operation_xyz
'x,y,z'
loop_
_atom_site_label
_atom_site_type_symbol
_atom_site_fract_x
_atom_site_fract_y
_atom_site_fract_z
Au1 Au 0.0000 0.0000 0.5000
Pd1 Pd 0.0000 0.0000 0.0000
Cs1 Cs 0.5000 0.5000 0.5000
Tl1 Tl 0.0000 0.5000 0.0000
Tl2 Tl 0.5000 0.0000 0.0000
```

space group: P4/mmm
total energy: -14.60 eV for the cell shown

***

A plane-wave DFT calculation with PBE was carried out for an optimized crystal structure of LaSm14Y.

CIF file:
```
data_LaSm14Y
_cell_length_a 7.2711
_cell_length_b 7.2711
_cell_length_c 10.2651
_cell_angle_alpha 90.00
_cell_angle_beta 90.00
_cell_angle_gamma 90.00
_space_group_name_H-M_alt 'P 1'
_space_group_IT_number 1
loop_
_space_group_symop_operation_xyz
'x,y,z'
loop_
_atom_site_label
_atom_site_type_symbol
_atom_site_fract_x
_atom_site_fract_y
_atom_site_fract_z
Sm1 Sm 0.8751 0.1249 0.5000
Y1 Y 0.3749 0.6251 0.0000
Sm2 Sm 0.3749 0.1248 0.5000
Sm3 Sm 0.3753 0.1252 0.0000
Sm4 Sm 0.3750 0.6250 0.5000
Sm5 Sm 0.6241 0.3759 0.2508
Sm6 Sm 0.1260 0.3761 0.2507
Sm7 Sm 0.6239 0.8740 0.7493
Sm8 Sm 0.8748 0.6247 0.0000
La1 La 0.8751 0.1249 0.0000
Sm9 Sm 0.8752 0.6251 0.5000
Sm10 Sm 0.6239 0.8740 0.2507
Sm11 Sm 0.6241 0.3759 0.7492
Sm12 Sm 0.1259 0.8741 0.2505
Sm13 Sm 0.1259 0.8741 0.7495
Sm14 Sm 0.1260 0.3761 0.7493
```

space group: P4/mmm
total energy: -77.23 eV for the cell shown

***

A plane-wave DFT calculation with PBE was carried out for an optimized crystal structure of FeOsC.

CIF file:
```
data_FeOsC
_cell_length_a 4.4592
_cell_length_b 2.7729
_cell_length_c 5.3919
_cell_angle_alpha 90.00
_cell_angle_beta 108.68
_cell_angle_gamma 90.00
_space_group_name_H-M_alt 'P 1'
_space_group_IT_number 1
loop_
_space_group_symop_operation_xyz
'x,y,z'
loop_
_atom_site_label
_atom_site_type_symbol
_atom_site_fract_x
_atom_site_fract_y
_atom_site_fract_z
Os1 Os 0.7239 0.7500 0.4283
Fe1 Fe 0.2583 0.2500 0.0656
C1 C 0.8966 0.2500 0.2091
C2 C 0.1034 0.7500 0.7909
Os2 Os 0.2761 0.2500 0.5717
Fe2 Fe 0.7417 0.7500 0.9344
```

space group: P2_1/m
ΔE to the lowest computed polymorph: 3.2 meV/atom